Density functional theory data (GGA-PBE) for a relaxed structure of SnPSN2.

The structure in POSCAR format:
```
SnPSN2
1.0
4.0825 0.0000 0.0000
0.0000 4.0825 0.0000
0.0000 0.0000 5.2727
N S P Sn
2 1 1 1
direct
0.0000 0.5000 0.0000
0.5000 0.0000 0.0000
0.0000 0.0000 0.5000
0.5000 0.5000 0.5000
0.0000 0.0000 0.0000
```

As for the energy above the most stable polymorph in this dataset: 859 meV per atom. The density of states at the Fermi level comes out at 3.422 states/eV/cell. The raw formation energy comes out at 1621.8 meV/atom.

---

Density functional theory data (GGA-PBE) for a relaxed structure of In5Pb.

The structure in POSCAR format:
```
In5Pb
1.0
-5.1539 0.9489 -3.7479
-6.1090 -1.4420 -1.4529
-4.3871 5.5811 3.9883
In Pb
5 1
direct
0.0015 0.0015 0.0060
0.6613 0.6613 0.6656
0.3311 0.3311 0.3402
0.6097 0.6097 0.2807
0.9481 0.9481 0.6003
0.2816 0.2816 0.9405
```

As for the energy above the most stable polymorph in this dataset: 6 meV per atom. The density of states at the Fermi level comes out at 2.860 states/eV/cell. The value obtained for the formation energy is 0.1 eV/f.u.

---

Density functional theory data (GGA-PBE) for a relaxed structure of GdHfZr2.

The structure in POSCAR format:
```
GdHfZr2
1.0
4.5867 0.0000 0.0000
0.0000 4.6303 0.0000
0.0000 0.0000 4.6303
Gd Zr Hf
1 2 1
direct
0.5000 0.5000 0.5000
0.0000 0.5000 0.0000
0.0000 0.0000 0.5000
0.5000 0.0000 0.0000
```

As for the energy above the most stable polymorph in this dataset: 24 meV per atom. The density of states at the Fermi level comes out at 5.567 states/eV/cell. The value obtained for the formation energy is 0.6 eV/f.u.

---

Density functional theory data (GGA-PBE) for a relaxed structure of Tb6ZnCd.

The structure in POSCAR format:
```
Tb6ZnCd
1.0
-2.5452 2.5452 8.8097
2.5452 -2.5452 8.8097
2.5452 2.5452 -8.8097
Zn Tb Cd
1 6 1
direct
0.0000 0.0000 0.0000
0.3913 0.8913 0.5000
0.1087 0.6087 0.5000
0.2501 0.2501 0.0000
0.8913 0.3913 0.5000
0.7499 0.7499 0.0000
0.6087 0.1087 0.5000
0.5000 0.5000 0.0000
```

The density of states at the Fermi level comes out at 9.039 states/eV/cell. The value obtained for the formation energy is -1.1 eV/f.u.